(1)
Computed, not measured: an optimized crystal structure of FePRh at the PBE level of DFT.

```
data_FePRh
_space_group_name_H-M_alt 'P 1'
_space_group_IT_number 1
_cell_length_a 3.826
_cell_length_b 3.826
_cell_length_c 3.826
_cell_angle_alpha 60.00
_cell_angle_beta 60.00
_cell_angle_gamma 60.00
loop_
_space_group_symop_operation_xyz
'x,y,z'
loop_
_atom_site_label
_atom_site_type_symbol
_atom_site_fract_x
_atom_site_fract_y
_atom_site_fract_z
Rh1 Rh 0.000 0.000 0.000
Fe1 Fe 0.500 0.500 0.500
P1 P 0.750 0.750 0.750
```

Results
DFT formation energy, eV per formula unit: -1.450
Space group: F-43m (216)


(2)
Computed, not measured: an optimized crystal structure of FeP4Rh at the PBE level of DFT.

```
data_FeP4Rh
_space_group_name_H-M_alt 'P 1'
_space_group_IT_number 1
_cell_length_a 4.923
_cell_length_b 4.923
_cell_length_c 4.923
_cell_angle_alpha 60.00
_cell_angle_beta 60.00
_cell_angle_gamma 60.00
loop_
_space_group_symop_operation_xyz
'x,y,z'
loop_
_atom_site_label
_atom_site_type_symbol
_atom_site_fract_x
_atom_site_fract_y
_atom_site_fract_z
P1 P 0.373 0.881 0.373
P2 P 0.373 0.373 0.373
P3 P 0.881 0.373 0.373
P4 P 0.373 0.373 0.881
Rh1 Rh 0.750 0.750 0.750
Fe1 Fe 0.000 0.000 0.000
```

Results
DFT formation energy, eV per formula unit: 4.103
Space group: F-43m (216)


(3)
Computed, not measured: an optimized crystal structure of FeP2Rh at the PBE level of DFT.

```
data_FeP2Rh
_space_group_name_H-M_alt 'P 1'
_space_group_IT_number 1
_cell_length_a 3.783
_cell_length_b 3.570
_cell_length_c 4.239
_cell_angle_alpha 95.56
_cell_angle_beta 90.00
_cell_angle_gamma 90.00
loop_
_space_group_symop_operation_xyz
'x,y,z'
loop_
_atom_site_label
_atom_site_type_symbol
_atom_site_fract_x
_atom_site_fract_y
_atom_site_fract_z
P1 P 0.000 0.050 0.934
P2 P 0.000 0.450 0.566
Rh1 Rh 0.500 0.250 0.250
Fe1 Fe 0.500 0.750 0.750
```

Results
DFT formation energy, eV per formula unit: -0.556
Relative energy among the computed polymorphs, meV per atom: 239.9
Space group: P2/m (10)


(4)
Computed, not measured: an optimized crystal structure of Fe2P2Rh at the PBE level of DFT.

```
data_Fe2P2Rh
_space_group_name_H-M_alt 'P 1'
_space_group_IT_number 1
_cell_length_a 6.504
_cell_length_b 6.504
_cell_length_c 2.686
_cell_angle_alpha 90.00
_cell_angle_beta 90.00
_cell_angle_gamma 90.00
loop_
_space_group_symop_operation_xyz
'x,y,z'
loop_
_atom_site_label
_atom_site_type_symbol
_atom_site_fract_x
_atom_site_fract_y
_atom_site_fract_z
Rh1 Rh 0.000 0.000 0.000
Rh2 Rh 0.500 0.500 0.000
P1 P 0.346 0.846 0.000
P2 P 0.654 0.154 0.000
P3 P 0.154 0.346 0.000
P4 P 0.846 0.654 0.000
Fe1 Fe 0.859 0.359 0.500
Fe2 Fe 0.359 0.141 0.500
Fe3 Fe 0.141 0.641 0.500
Fe4 Fe 0.641 0.859 0.500
```

Results
DFT formation energy, eV per formula unit: -1.744
Space group: P4/mbm (127)


(5)
Computed, not measured: an optimized crystal structure of FePRh at the PBE level of DFT.

```
data_FePRh
_space_group_name_H-M_alt 'P 1'
_space_group_IT_number 1
_cell_length_a 4.321
_cell_length_b 4.321
_cell_length_c 4.321
_cell_angle_alpha 141.54
_cell_angle_beta 128.42
_cell_angle_gamma 66.15
loop_
_space_group_symop_operation_xyz
'x,y,z'
loop_
_atom_site_label
_atom_site_type_symbol
_atom_site_fract_x
_atom_site_fract_y
_atom_site_fract_z
P1 P 0.329 0.329 0.000
Fe1 Fe 0.008 0.008 0.000
Rh1 Rh 0.663 0.663 0.000
```

Results
DFT formation energy, eV per formula unit: -0.367
Space group: Imm2 (44)


(6)
Computed, not measured: an optimized crystal structure of FeP2Rh at the PBE level of DFT.

```
data_FeP2Rh
_space_group_name_H-M_alt 'P 1'
_space_group_IT_number 1
_cell_length_a 7.292
_cell_length_b 7.292
_cell_length_c 7.292
_cell_angle_alpha 23.40
_cell_angle_beta 23.40
_cell_angle_gamma 23.40
loop_
_space_group_symop_operation_xyz
'x,y,z'
loop_
_atom_site_label
_atom_site_type_symbol
_atom_site_fract_x
_atom_site_fract_y
_atom_site_fract_z
P1 P 0.005 0.005 0.005
P2 P 0.249 0.249 0.249
Rh1 Rh 0.509 0.509 0.509
Fe1 Fe 0.738 0.738 0.738
```

Results
DFT formation energy, eV per formula unit: -0.413
Relative energy among the computed polymorphs, meV per atom: 275.5
Space group: R3m (160)


(7)
Computed, not measured: an optimized crystal structure of FeP2Rh at the PBE level of DFT.

```
data_FeP2Rh
_space_group_name_H-M_alt 'P 1'
_space_group_IT_number 1
_cell_length_a 4.139
_cell_length_b 4.139
_cell_length_c 4.139
_cell_angle_alpha 60.00
_cell_angle_beta 60.00
_cell_angle_gamma 60.00
loop_
_space_group_symop_operation_xyz
'x,y,z'
loop_
_atom_site_label
_atom_site_type_symbol
_atom_site_fract_x
_atom_site_fract_y
_atom_site_fract_z
P1 P 0.750 0.750 0.750
P2 P 0.250 0.250 0.250
Rh1 Rh 0.500 0.500 0.500
Fe1 Fe 0.000 0.000 0.000
```

Results
DFT formation energy, eV per formula unit: -0.586
Relative energy among the computed polymorphs, meV per atom: 232.2
Space group: Fm-3m (225)


(8)
Computed, not measured: an optimized crystal structure of FeP2Rh at the PBE level of DFT.

```
data_FeP2Rh
_space_group_name_H-M_alt 'P 1'
_space_group_IT_number 1
_cell_length_a 5.114
_cell_length_b 5.114
_cell_length_c 6.228
_cell_angle_alpha 65.76
_cell_angle_beta 65.76
_cell_angle_gamma 90.00
loop_
_space_group_symop_operation_xyz
'x,y,z'
loop_
_atom_site_label
_atom_site_type_symbol
_atom_site_fract_x
_atom_site_fract_y
_atom_site_fract_z
P1 P 0.375 0.398 0.750
P2 P 0.602 0.125 0.250
P3 P 0.148 0.625 0.250
P4 P 0.875 0.852 0.750
Rh1 Rh 0.750 0.250 0.500
Rh2 Rh 0.000 0.000 0.000
Fe1 Fe 0.500 0.500 0.000
Fe2 Fe 0.250 0.750 0.500
```

Results
DFT formation energy, eV per formula unit: -1.061
Relative energy among the computed polymorphs, meV per atom: 113.6
Space group: I-42d (122)